(1)
{
  "formula": "PmDy6Cd",
  "functional": "GGA-PBE",
  "state": "relaxed",
  "lattice_angstrom": [[6.307, 0.000, 0.000], [-0.502, 6.290, 0.000], [-0.513, -0.549, 6.266]],
  "species": ["Pm", "Dy", "Dy", "Dy", "Dy", "Dy", "Dy", "Cd"],
  "frac_coords": [[0.000, 0.000, 0.000], [0.052, 0.541, 0.259], [0.259, 0.051, 0.541], [0.460, 0.741, 0.948], [0.540, 0.259, 0.052], [0.741, 0.949, 0.459], [0.948, 0.459, 0.741], [0.500, 0.500, 0.500]],
  "spacegroup": "P-1",
  "formation_energy_ev_per_fu": 0.40,
  "final_energy_ev_per_atom": -4.110,
  "magnetic_moment_mub_per_cell": 0.0
}

(2)
{
  "formula": "Ho4SiSn",
  "functional": "GGA-PBE",
  "state": "relaxed",
  "lattice_angstrom": [[7.908, -2.905, 0.000], [7.908, 2.905, 0.000], [-2.094, 0.000, 7.361]],
  "species": ["Ho", "Ho", "Ho", "Ho", "Ho", "Ho", "Ho", "Ho", "Si", "Si", "Sn", "Sn"],
  "frac_coords": [[0.051, 0.797, 0.554], [0.203, 0.949, 0.946], [0.213, 0.451, 0.864], [0.451, 0.213, 0.364], [0.549, 0.787, 0.636], [0.787, 0.549, 0.136], [0.797, 0.051, 0.054], [0.949, 0.203, 0.446], [0.000, 0.500, 0.500], [0.500, 0.000, 0.000], [0.367, 0.633, 0.250], [0.633, 0.367, 0.750]],
  "spacegroup": "C2/c",
  "e_form_raw_ev_per_atom": -0.346,
  "final_energy_ev_per_atom": -4.968,
  "magnetic_moment_mub_per_cell": 0.0
}

(3)
{
  "formula": "NaGePb",
  "functional": "GGA-PBE",
  "state": "relaxed",
  "lattice_angstrom": [[7.002, 0.000, 0.000], [0.000, 7.002, 0.000], [0.000, 0.000, 7.002]],
  "species": ["Na", "Na", "Na", "Na", "Ge", "Ge", "Ge", "Ge", "Pb", "Pb", "Pb", "Pb"],
  "frac_coords": [[0.000, 0.000, 0.000], [0.000, 0.500, 0.500], [0.500, 0.000, 0.500], [0.500, 0.500, 0.000], [0.250, 0.250, 0.250], [0.250, 0.750, 0.750], [0.750, 0.250, 0.750], [0.750, 0.750, 0.250], [0.000, 0.000, 0.500], [0.000, 0.500, 0.000], [0.500, 0.000, 0.000], [0.500, 0.500, 0.500]],
  "spacegroup": "F-43m",
  "formation_energy_ev_per_fu": 0.09,
  "final_energy_ev_per_atom": -3.185,
  "e_above_lowest_polymorph_mev_per_atom": 103.7,
  "magnetic_moment_mub_per_cell": 0.0
}